DFT (PBE) results for crystalline Dy6YTm2Th3 at its relaxed geometry.

Unit cell a=6.1575 b=6.1575 c=11.7126 alpha=95.04 beta=95.04 gamma=119.97
Last column: nearest neighbours and their distance in Å.
Positions (direct):
Dy (0.0816, 0.4158, 0.2471)  3 Th 3.51, 6 Dy 3.55-3.56, 2 Tm 3.56-3.57, 1 Y 3.57
Dy (0.2501, 0.2501, 0.7528)  3 Th 3.51, 6 Dy 3.55-3.56, 2 Tm 3.56, 1 Y 3.57
Dy (0.4158, 0.0816, 0.2471)  3 Th 3.51, 6 Dy 3.55-3.56, 2 Tm 3.56-3.57, 1 Y 3.57
Dy (0.5842, 0.9184, 0.7529)  3 Th 3.51, 6 Dy 3.55-3.56, 2 Tm 3.56-3.57, 1 Y 3.57
Dy (0.7499, 0.7499, 0.2472)  3 Th 3.51, 6 Dy 3.55-3.56, 2 Tm 3.56, 1 Y 3.57
Dy (0.9184, 0.5842, 0.7529)  3 Th 3.51, 6 Dy 3.55-3.56, 2 Tm 3.56-3.57, 1 Y 3.57
Y (0.5000, 0.5000, 0.5000)  6 Tm 3.55-3.56, 6 Dy 3.57
Tm (0.1668, 0.8332, 0.5000)  3 Y 3.55-3.56, 3 Tm 3.56, 6 Dy 3.56-3.57
Tm (0.8332, 0.1668, 0.5000)  3 Y 3.55-3.56, 3 Tm 3.56, 6 Dy 3.56-3.57
Th (0.0000, 0.0000, 0.0000)  6 Dy 3.51, 6 Th 3.56
Th (0.3334, 0.6666, 0.0000)  6 Dy 3.51, 6 Th 3.55-3.56
Th (0.6666, 0.3334, 0.0000)  6 Dy 3.51, 6 Th 3.55-3.56

Crystal system: monoclinic
Symmetry: C2/m
ΔE_f, eV/atom: 0.026

=====

DFT (PBE) results for crystalline YScMo2 at its relaxed geometry.

Unit cell a=4.8009 b=4.8009 c=3.4366 alpha=90.00 beta=90.00 gamma=90.00
Last column: nearest neighbours and their distance in Å.
Positions (direct):
Y (0.0000, 0.0000, 0.0000)  8 Mo 2.95
Sc (0.5000, 0.5000, 0.0000)  8 Mo 2.95
Mo (0.0000, 0.5000, 0.5000)  4 Sc 2.95, 4 Y 2.95
Mo (0.5000, 0.0000, 0.5000)  4 Sc 2.95, 4 Y 2.95

Crystal system: tetragonal
Distance to the lowest polymorph of the same formula, meV per atom: 477
Symmetry: P4/mmm
ΔE_f, eV/atom: 0.539

=====

DFT (PBE) results for crystalline Li3InIr at its relaxed geometry.

Unit cell a=5.9783 b=4.6959 c=5.1205 alpha=74.90 beta=49.32 gamma=55.78
Last column: nearest neighbours and their distance in Å.
Positions (direct):
Li (0.0000, 0.0000, 0.0000)  1 Ir 2.55, 3 In 2.74-2.79, 4 Li 2.79
Li (0.1404, 0.1404, 0.3596)  4 Li 2.50-2.79, 2 Ir 2.58
Li (0.6404, 0.6404, 0.8596)  4 Li 2.50-2.79, 2 Ir 2.58
In (0.3452, 0.3452, 0.6548)  3 Ir 2.66-2.83, 3 Li 2.74-2.79
Ir (0.6795, 0.6795, 0.3205)  5 Li 2.55-2.58, 3 In 2.66-2.83

Crystal system: orthorhombic
Distance to the lowest polymorph of the same formula, meV per atom: 0
Symmetry: Fmm2
ΔE_f, eV/atom: -0.101

=====

DFT (PBE) results for crystalline BMo2S at its relaxed geometry.

Unit cell a=4.1053 b=4.1053 c=4.1053 alpha=60.00 beta=60.00 gamma=60.00
Last column: nearest neighbours and their distance in Å.
Positions (direct):
B (0.0000, 0.0000, 0.0000)  8 Mo 2.51
Mo (0.2500, 0.2500, 0.2500)  4 S 2.51, 4 B 2.51
Mo (0.7500, 0.7500, 0.7500)  4 B 2.51, 4 S 2.51
S (0.5000, 0.5000, 0.5000)  8 Mo 2.51

Crystal system: cubic
Distance to the lowest polymorph of the same formula, meV per atom: 0
Symmetry: Fm-3m
E_form (uncorrected), meV per atom: 146.6

=====

DFT (PBE) results for crystalline TiCdS2 at its relaxed geometry.

Unit cell a=8.7902 b=8.7902 c=8.7902 alpha=22.05 beta=22.05 gamma=22.05
Last column: nearest neighbours and their distance in Å.
Positions (direct):
Ti (0.0000, 0.0000, 0.0000)  6 S 2.42
Cd (0.5000, 0.5000, 0.5000)  2 S 2.83
S (0.3898, 0.3898, 0.3898)  3 Ti 2.42
S (0.6102, 0.6102, 0.6102)  3 Ti 2.42

Crystal system: trigonal
Symmetry: R-3m
E_form (uncorrected), meV per atom: -972.4

=====

DFT (PBE) results for crystalline YHf2Sn at its relaxed geometry.

Unit cell a=5.0794 b=5.0794 c=5.0794 alpha=60.00 beta=60.00 gamma=60.00
Last column: nearest neighbours and their distance in Å.
Positions (direct):
Y (0.0000, 0.0000, 0.0000)  8 Hf 3.11
Hf (0.2500, 0.2500, 0.2500)  4 Sn 3.11, 4 Y 3.11
Hf (0.7500, 0.7500, 0.7500)  4 Y 3.11, 4 Sn 3.11
Sn (0.5000, 0.5000, 0.5000)  8 Hf 3.11

Crystal system: cubic
Distance to the lowest polymorph of the same formula, meV per atom: 0
Symmetry: Fm-3m
ΔE_f, eV/atom: 0.057

=====

DFT (PBE) results for crystalline Pr3Ge4Pd at its relaxed geometry.

Unit cell a=8.4046 b=8.4046 c=8.4046 alpha=148.69 beta=138.22 gamma=53.12
Last column: nearest neighbours and their distance in Å.
Positions (direct):
Pr (0.0000, 0.0000, 0.0000)  8 Ge 3.17
Pr (0.3083, 0.8083, 0.5000)  6 Ge 3.04-3.09
Pr (0.6917, 0.1917, 0.5000)  6 Ge 3.04-3.09
Ge (0.0909, 0.3789, 0.7120)  1 Pd 2.51, 1 Ge 2.54
Ge (0.3331, 0.6211, 0.7120)  1 Pd 2.51, 1 Ge 2.54
Ge (0.6669, 0.3789, 0.2880)  1 Pd 2.51, 1 Ge 2.54
Ge (0.9091, 0.6211, 0.2880)  1 Pd 2.51, 1 Ge 2.54
Pd (0.5000, 0.5000, 0.0000)  4 Ge 2.51

Crystal system: orthorhombic
Symmetry: Immm
ΔE_f, eV/atom: -0.704

=====

DFT (PBE) results for crystalline TaRhO3 at its relaxed geometry.

Unit cell a=3.9546 b=3.9546 c=3.9546 alpha=90.00 beta=90.00 gamma=90.00
Last column: nearest neighbours and their distance in Å.
Positions (direct):
Ta (0.0000, 0.0000, 0.0000)  6 O 1.98
Rh (0.5000, 0.5000, 0.5000)  12 O 2.80
O (0.0000, 0.0000, 0.5000)  2 Ta 1.98
O (0.0000, 0.5000, 0.0000)  2 Ta 1.98
O (0.5000, 0.0000, 0.0000)  2 Ta 1.98

Crystal system: cubic
Symmetry: Pm-3m
E_form (uncorrected), meV per atom: -1437.8

=====

DFT (PBE) results for crystalline Zn2GaP2 at its relaxed geometry.

Unit cell a=6.2206 b=6.2206 c=6.2206 alpha=141.78 beta=141.78 gamma=55.16
Last column: nearest neighbours and their distance in Å.
Positions (direct):
Zn (0.2500, 0.7500, 0.5000)  4 P 2.49
Zn (0.7500, 0.2500, 0.5000)  4 P 2.49
Ga (0.0000, 0.0000, 0.0000)  8 P 3.17, 8 Zn 3.43
P (0.3800, 0.3800, 0.0000)  4 Zn 2.49, 1 P 2.65
P (0.6200, 0.6200, 0.0000)  4 Zn 2.49, 1 P 2.65

Crystal system: tetragonal
Distance to the lowest polymorph of the same formula, meV per atom: 0
Symmetry: I4/mmm
ΔE_f, eV/atom: 0.097

=====

DFT (PBE) results for crystalline TaNb at its relaxed geometry.

Unit cell a=7.0899 b=7.0899 c=7.0899 alpha=109.47 beta=109.47 gamma=109.47
Last column: nearest neighbours and their distance in Å.
Positions (direct):
Ta (0.0000, 0.0000, 0.2540)  4 Nb 2.60-2.72
Ta (0.0000, 0.2540, 0.0000)  4 Nb 2.60-2.72
Ta (0.2540, 0.0000, 0.0000)  4 Nb 2.60-2.72
Ta (0.7460, 0.7460, 0.7460)  4 Nb 2.60-2.72
Nb (0.0000, 0.0000, 0.6371)  4 Ta 2.60-2.72
Nb (0.0000, 0.6371, 0.0000)  4 Ta 2.60-2.72
Nb (0.3629, 0.3629, 0.3629)  4 Ta 2.60-2.72
Nb (0.6371, 0.0000, 0.0000)  4 Ta 2.60-2.72

Crystal system: cubic
Distance to the lowest polymorph of the same formula, meV per atom: 2332
Symmetry: I-43m
ΔE_f, eV/atom: 2.322

=====

DFT (PBE) results for crystalline CuOsSe at its relaxed geometry.

Unit cell a=5.9796 b=5.9796 c=5.9796 alpha=151.17 beta=151.17 gamma=41.22
Last column: nearest neighbours and their distance in Å.
Positions (direct):
Cu (0.0000, 0.0000, 0.0000)  4 Os 2.69, 4 Cu 2.98
Os (0.3506, 0.3506, 0.0000)  4 Se 2.53, 4 Cu 2.69
Se (0.7260, 0.7260, 0.0000)  4 Os 2.53

Crystal system: tetragonal
Distance to the lowest polymorph of the same formula, meV per atom: 5
Symmetry: I4mm
E_form (uncorrected), meV per atom: 451.3

=====

DFT (PBE) results for crystalline SrScP2S at its relaxed geometry.

Unit cell a=5.2146 b=5.2146 c=5.2830 alpha=90.00 beta=90.00 gamma=90.00
Last column: nearest neighbours and their distance in Å.
Positions (direct):
Sr (0.0000, 0.0000, 0.0000)  4 P 2.61, 2 S 2.64
Sc (0.5000, 0.5000, 0.5000)  4 S 3.69, 8 P 3.71
P (0.0000, 0.5000, 0.0000)  2 Sr 2.61
P (0.5000, 0.0000, 0.0000)  2 Sr 2.61
S (0.0000, 0.0000, 0.5000)  2 Sr 2.64

Crystal system: tetragonal
Distance to the lowest polymorph of the same formula, meV per atom: 1358
Symmetry: P4/mmm
E_form (uncorrected), meV per atom: 625.8

=====

Number 1: M_tot 0.00 μB per formula unit. Number 2: M_tot 0.08 μB per formula unit. Number 3: M_tot 0.00 μB per formula unit. Number 4: M_tot 0.00 μB per formula unit. Number 5: M_tot 0.00 μB per formula unit. Number 6: M_tot 0.81 μB per formula unit. Number 7: M_tot 0.00 μB per formula unit. Number 8: M_tot 2.00 μB per formula unit. Number 9: M_tot 0.00 μB per formula unit. Number 10: M_tot 0.00 μB per formula unit. Number 11: M_tot 0.00 μB per formula unit. Number 12: M_tot 0.00 μB per formula unit.